[1]
Below is an optimized crystal structure of Mg2CuMo, with properties calculated at the GGA-PBE level.

a = 4.045 Å, b = 4.045 Å, c = 3.977 Å
α = 90.00°, β = 90.00°, γ = 90.00°
Space group P4/mmm (No. 123)
Unique sites:
1 Mg 0.000 0.500 0.000 x2
2 Cu 0.000 0.000 0.500 x1
3 Mo 0.500 0.500 0.500 x1

calculated formation energy = 0.308 eV/atom
energy above the most stable polymorph in this dataset = 0.61 eV per formula unit

[2]
Below is an optimized crystal structure of La2NdSm5Tm, with properties calculated at the GGA-PBE level.

a = 8.743 Å, b = 8.743 Å, c = 16.247 Å
α = 90.00°, β = 90.00°, γ = 90.00°
Space group I4/mcm (No. 140)
Unique sites:
1 La 0.119 0.381 0.000 x8
2 Nd 0.000 0.000 0.250 x4
3 Sm 0.000 0.000 0.000 x4
4 Sm 0.218 0.282 0.358 x16
5 Tm 0.000 0.500 0.250 x4

calculated formation energy = 0.253 eV/atom

[3]
Below is an optimized crystal structure of Pm4EuEr, with properties calculated at the GGA-PBE level.

a = 9.572 Å, b = 9.572 Å, c = 9.572 Å
α = 90.00°, β = 90.00°, γ = 90.00°
Space group F-43m (No. 216)
Unique sites:
1 Pm 0.123 0.123 0.377 x16
2 Eu 0.000 0.000 0.000 x4
3 Er 0.250 0.250 0.750 x4

calculated formation energy = 0.237 eV/atom

[4]
Below is an optimized crystal structure of Er3AlCu2, with properties calculated at the GGA-PBE level.

a = 3.434 Å, b = 3.434 Å, c = 10.748 Å
α = 90.00°, β = 90.00°, γ = 90.00°
Space group P4/mmm (No. 123)
Unique sites:
1 Er 0.000 0.000 0.000 x1
2 Er 0.000 0.000 0.322 x2
3 Al 0.500 0.500 0.500 x1
4 Cu 0.500 0.500 0.164 x2

calculated formation energy = -0.319 eV/atom

[5]
Below is an optimized crystal structure of BaThAgS4, with properties calculated at the GGA-PBE level.

a = 7.196 Å, b = 5.766 Å, c = 9.022 Å
α = 90.00°, β = 110.27°, γ = 90.00°
Space group P2_1/m (No. 11)
Unique sites:
1 Ba 0.230 0.250 0.448 x2
2 Th 0.233 0.250 0.942 x2
3 Ag 0.264 0.750 0.205 x2
4 S 0.049 0.750 0.363 x2
5 S 0.059 0.750 0.909 x2
6 S 0.462 0.520 0.788 x4

raw formation energy = -1.415 eV per atom

[6]
Below is an optimized crystal structure of TiAu2BrO, with properties calculated at the GGA-PBE level.

a = 5.129 Å, b = 5.129 Å, c = 3.731 Å
α = 90.00°, β = 90.00°, γ = 90.00°
Space group P4/mmm (No. 123)
Unique sites:
1 Ti 0.000 0.000 0.000 x1
2 Au 0.000 0.500 0.500 x2
3 Br 0.500 0.500 0.000 x1
4 O 0.000 0.000 0.500 x1

raw formation energy = -0.183 eV per atom